# 1
PBE Ni3TeP, optimized geometry; volume = 19.898 A^3/atom; ρ = 5.6 g/cm3; formation energy without anion corrections = 1.053 eV per atom
1.0
4.6337 0.0000 0.0000
0.0000 4.6337 0.0000
0.0000 0.0000 4.6337
Ni Te P
3 1 1
direct
0.0000 0.0000 0.5000
0.0000 0.5000 0.0000
0.5000 0.0000 0.0000
0.0000 0.0000 0.0000
0.5000 0.5000 0.5000



# 2
PBE BeCo3B, optimized geometry; volume = 9.448 A^3/atom; ΔH_f (0 K) = -0.016 eV per atom; ρ = 6.9 g/cm3
1.0
2.8172 1.6265 3.4364
-2.8172 1.6265 3.4364
0.0000 -3.2531 3.4364
Be Co B
2 6 2
direct
0.0000 0.0000 0.0000
0.5000 0.5000 0.5000
0.0387 0.3592 0.5747
0.0747 0.8592 0.5387
0.3592 0.5747 0.0387
0.5387 0.0747 0.8592
0.5747 0.0387 0.3592
0.8592 0.5387 0.0747
0.1943 0.1943 0.1943
0.6943 0.6943 0.6943



# 3
PBE KBa2Pb, optimized geometry; volume = 52.575 A^3/atom; ΔH_f (0 K) = -0.116 eV per atom; ρ = 4.1 g/cm3
1.0
4.3108 0.0000 0.0000
0.0000 4.3108 0.0000
0.0000 0.0000 11.3170
K Ba Pb
1 2 1
direct
0.0000 0.0000 0.0000
0.0000 0.0000 0.3693
0.5000 0.5000 0.6772
0.5000 0.5000 0.1898



# 4
PBE BeSiPd6, optimized geometry; volume = 15.129 A^3/atom; ρ = 9.3 g/cm3; formation energy without anion corrections = -0.284 eV per atom
1.0
5.4566 0.0000 0.0000
-2.7249 4.7456 0.0000
-2.7196 -1.5905 4.6739
Be Si Pd
1 1 6
direct
0.0000 0.0000 0.0000
0.0000 0.5000 0.5000
0.2030 0.9644 0.7552
0.2074 0.7616 0.2444
0.4828 0.4468 0.2444
0.5172 0.5532 0.7556
0.7926 0.2384 0.7556
0.7970 0.0356 0.2448



# 5
PBE CaBeCl2, optimized geometry; volume = 21.850 A^3/atom; ρ = 2.3 g/cm3; formation energy without anion corrections = -0.639 eV per atom
1.0
-2.0386 2.0386 5.2577
2.0386 -2.0386 5.2577
2.0386 2.0386 -5.2577
Ca Be Cl
1 1 2
direct
0.0000 0.0000 0.0000
0.7500 0.2500 0.5000
0.2500 0.7500 0.5000
0.5000 0.5000 0.0000



# 6
PBE TmIn2Rh, optimized geometry; volume = 21.047 A^3/atom; ΔH_f (0 K) = -0.416 eV per atom; ρ = 9.9 g/cm3
1.0
4.2136 0.0000 0.0000
0.0000 4.2136 0.0000
0.0000 0.0000 4.7419
Tm In Rh
1 2 1
direct
0.0000 0.0000 0.0000
0.0000 0.5000 0.5000
0.5000 0.0000 0.5000
0.5000 0.5000 0.0000



Uncorrected energy (computed, eV per atom): -4.1261; -6.3604; -2.2788; -5.3219; -2.9941; -4.7408